Density functional theory data (GGA-PBE) for a relaxed structure of AcNd3Tm2.

```
data_AcNd3Tm2
_cell_length_a 3.531
_cell_length_b 6.186
_cell_length_c 19.732
_cell_angle_alpha 90.00
_cell_angle_beta 90.00
_cell_angle_gamma 90.00
_space_group_name_H-M_alt 'P 1'
_space_group_IT_number 1
_space_group_name_Hall 'P 1'
loop_
_atom_site_label
_atom_site_fract_x
_atom_site_fract_y
_atom_site_fract_z
_atom_site_occupancy
Ac1 0.000 0.000 0.000 1
Ac2 0.500 0.500 0.500 1
Nd1 0.000 0.000 0.191 1
Nd2 0.000 0.000 0.809 1
Nd3 0.000 0.500 0.000 1
Nd4 0.500 0.000 0.500 1
Nd5 0.500 0.500 0.309 1
Nd6 0.500 0.500 0.691 1
Tm1 0.000 0.000 0.361 1
Tm2 0.000 0.000 0.639 1
Tm3 0.500 0.500 0.139 1
Tm4 0.500 0.500 0.861 1
```

## Properties
D(E_F) ... 21.4 states/eV per cell
Formation energy ... 0.365 eV per atom
Raw total energy ... -4.194 eV per atom